[1]
V2NiTe2O10 after structural relaxation, computed with GGA-PBEsol.

```
V2NiTe2O10
1.0
4.714 0.000 0.000
1.774 6.027 0.000
2.293 -0.087 5.979
V Ni Te O
2 1 2 10
Direct
0.146 0.116 0.127
0.854 0.884 0.873
0.500 0.000 0.500
0.236 0.599 0.283
0.764 0.401 0.717
0.101 0.825 0.072
0.162 0.847 0.631
0.208 0.332 0.538
0.232 0.386 0.085
0.464 0.968 0.208
0.536 0.032 0.792
0.768 0.614 0.915
0.792 0.668 0.462
0.838 0.153 0.369
0.899 0.175 0.928
```

Volume (Å³/cell): 170
Space group: P-1 (2)
Final energy (eV per atom): -7.26



[2]
K2PtC2 after structural relaxation, computed with GGA-PBEsol.

```
K2PtC2
1.0
5.107 0.000 0.000
-2.553 4.422 0.000
0.000 0.000 5.187
K Pt C
2 1 2
Direct
0.333 0.667 0.275
0.667 0.333 0.725
0.000 0.000 0.000
0.000 0.000 0.377
0.000 0.000 0.623
```

Volume (Å³/cell): 117
Space group: P-3m1 (164)
E_form (eV per atom): -0.0266